1.
The following is a GGA-PBE calculation of an optimized crystal structure of Ce3In3Ru2, from Alexandria via LeMat-Bulk.

Unit cell a=16.3089 b=4.8837 c=4.9435 alpha=90.00 beta=97.29 gamma=90.00
Last column: nearest neighbours and their distance in Å.
Space group C2/m (No. 12)
Unique sites:
Ce1 0.0000 0.0000 0.0000  8 In 3.24-3.47, 2 Ru 3.40
Ce2 0.1715 0.0000 0.5762  1 Ru 2.39
In1 0.0000 0.5000 0.5000  4 In 3.24-3.28, 4 Ce 3.47
In2 0.1312 0.5000 0.0490  3 Ru 2.76-2.84
Ru1 0.2096 0.0000 0.1250  1 Ce 2.39

Energy relative to the elements: -3.8 eV per formula unit
ρ: 8.2 Mg/m³

2.
The following is a GGA-PBE calculation of an optimized crystal structure of YHoBeCd, from Alexandria via LeMat-Bulk.

Unit cell a=7.1951 b=7.1951 c=7.1951 alpha=90.00 beta=90.00 gamma=90.00
Last column: nearest neighbours and their distance in Å.
Space group F-43m (No. 216)
Unique sites:
Y1 0.0000 0.0000 0.0000  4 Cd 3.12, 4 Be 3.12
Ho1 0.0000 0.0000 0.5000  4 Be 3.12, 4 Cd 3.12
Be1 0.2500 0.2500 0.2500  4 Ho 3.12, 4 Y 3.12
Cd1 0.2500 0.2500 0.7500  4 Ho 3.12, 4 Y 3.12

Energy relative to the elements: -0.2 eV per formula unit
ρ: 6.7 Mg/m³

3.
The following is a GGA-PBE calculation of an optimized crystal structure of Na2HfAlIr, from Alexandria via LeMat-Bulk.

Unit cell a=4.6995 b=4.6995 c=5.3812 alpha=90.00 beta=90.00 gamma=90.00
Last column: nearest neighbours and their distance in Å.
Space group P4/mmm (No. 123)
Unique sites:
Na1 0.0000 0.5000 0.0000  2 Al 2.35
Hf1 0.0000 0.0000 0.5000  2 Al 2.69
Al1 0.0000 0.0000 0.0000  4 Na 2.35
Ir1 0.5000 0.5000 0.5000  4 Hf 3.32, 8 Na 3.57

Energy relative to the elements: 6.5 eV per formula unit
ρ: 6.2 Mg/m³